Below is an optimized crystal structure of Fe2Co2Tc, with properties calculated at the GGA-PBE level.

The value obtained for the formation enthalpy at 0 K is 0.197 eV/atom. The value obtained for the density of states at the Fermi level is 1.42 states/eV per atom. The spin magnetization comes out at 6.30 μB per formula unit. Its calculated total energy is -81.0 eV for the cell shown.

It has space group P4/mbm (No. 127), with a = 6.736 Å, b = 6.736 Å, c = 2.612 Å, α = 90.00°, β = 90.00° and γ = 90.00°. Symmetry generates all atoms from Fe at (0.168, 0.332, 0.000), Co at (0.129, 0.629, 0.500) and Tc at (0.000, 0.000, 0.500).